The following is a DFT calculation (GGA-PBE) of a relaxed structure of Ca3Zn9Ag2.

Output
As for the space-group type: Immm, No. 71. The magnetic moment is 0.00 μB per formula unit. Its calculated formation energy is -0.2487 eV/atom. For the total energy, the calculation gives -1.904 eV/atom.

```
Ca3Zn9Ag2
1.0
-2.239 4.478 6.717
2.239 -4.478 6.717
2.239 4.478 -6.717
Ca Zn Ag
3 9 2
Cartesian
0.000 0.000 0.000
0.000 0.000 3.993
0.000 0.000 9.442
2.239 -1.288 2.277
2.239 -1.938 4.933
2.239 1.288 2.277
0.000 2.540 1.784
0.000 4.478 0.000
2.239 1.938 4.933
0.000 3.190 4.440
0.000 6.416 1.784
0.000 5.766 4.440
2.239 2.767 0.000
0.000 1.710 6.717
```